# 1
LiTh6C5: relaxed, PBE-GGA.

Values from the calculation:
electronic total energy	-7.764	eV per atom
ΔE_f	-0.05	eV per atom

The structure in CIF format:
```
data_LiTh6C5
_chemical_formula_sum 'Li2 Th12 C10'
_space_group_name_H-M_alt 'P 63/m c m'
_space_group_IT_number 193
_space_group_name_Hall '-P 6c 2'
_cell_length_a 6.5913
_cell_length_b 6.5913
_cell_length_c 12.7294
_cell_angle_alpha 90.00
_cell_angle_beta 90.00
_cell_angle_gamma 120.00
loop_
_atom_site_label
_atom_site_type_symbol
_atom_site_fract_x
_atom_site_fract_y
_atom_site_fract_z
Li1 Li 0.0000 0.0000 0.2500
Th1 Th 0.0000 0.3691 0.1222
C1 C 0.0000 0.3201 0.7500
C2 C 0.3333 0.6667 0.0000
```


# 2
PmDyYAl: relaxed, PBE-GGA.

Values from the calculation:
electronic total energy	-4.945	eV per atom
ΔE_f	-0.06	eV per atom
ΔE to the lowest computed polymorph	56	kJ/mol of formula units

The structure in CIF format:
```
data_PmDyYAl
_chemical_formula_sum 'Pm4 Dy4 Y4 Al4'
_space_group_name_H-M_alt 'F -4 3 m'
_space_group_IT_number 216
_space_group_name_Hall 'F -4 2 3'
_cell_length_a 7.638
_cell_length_b 7.638
_cell_length_c 7.638
_cell_angle_alpha 90.00
_cell_angle_beta 90.00
_cell_angle_gamma 90.00
loop_
_atom_site_label
_atom_site_type_symbol
_atom_site_fract_x
_atom_site_fract_y
_atom_site_fract_z
Pm1 Pm 0.000 0.000 0.000
Dy1 Dy 0.250 0.250 0.250
Y1 Y 0.000 0.000 0.500
Al1 Al 0.250 0.250 0.750
```


# 3
Er8Te4PPt3: relaxed, PBE-GGA.

Values from the calculation:
electronic total energy	-5.838	eV per atom
E_form (uncorrected)	-1.301	eV per atom

The structure in CIF format:
```
data_Er8Te4PPt3
_chemical_formula_sum 'Er24 Te12 P3 Pt9'
_space_group_name_H-M_alt 'R -3 m'
_space_group_IT_number 166
_space_group_name_Hall '-R 3 2"'
_cell_length_a 8.2830
_cell_length_b 8.2830
_cell_length_c 21.3684
_cell_angle_alpha 90.00
_cell_angle_beta 90.00
_cell_angle_gamma 120.00
loop_
_atom_site_label
_atom_site_type_symbol
_atom_site_fract_x
_atom_site_fract_y
_atom_site_fract_z
Er1 Er 0.0000 0.0000 0.2360
Er2 Er 0.0009 0.5004 0.7630
Te1 Te 0.0000 0.0000 0.0000
Te2 Te 0.0000 0.5000 0.0000
P1 P 0.0000 0.0000 0.5000
Pt1 Pt 0.0000 0.5000 0.5000
```